First-principles (PBE) data for a relaxed BeSiSe crystal, as listed in Alexandria via LeMat-Bulk.

* calculated density: 3.43 g cm⁻³
* calculated total energy: -27.00 eV/cell
* formation energy from raw total energies: -0.29 eV/atom

Lattice parameters (Å, degrees): 6.5057 6.5057 6.5057 146.42 59.93 131.91
Closest atoms and distances in Å follow each position.
Atoms (fractional coordinates):
Be1 0.1662 0.0000 0.1662  1 Si 2.23, 3 Se 2.27-2.29
Be2 0.8338 0.0000 0.8338  1 Si 2.23, 3 Se 2.27-2.29
Si1 0.5180 0.0180 0.5000  2 Si 2.31, 2 Se 2.42
Si2 0.7712 0.7712 0.0000  2 Be 2.23, 2 Si 2.31
Se1 0.0744 0.7465 0.3280  3 Be 2.27-2.29, 1 Si 2.42
Se2 0.4185 0.7465 0.6720  3 Be 2.27-2.29, 1 Si 2.42

=====

First-principles (PBE) data for a relaxed HfScBi2Os crystal, as listed in Alexandria via LeMat-Bulk.

* calculated density: 9.07 g cm⁻³
* calculated total energy: -27.44 eV/cell
* ΔE_f: 7.8 eV per formula unit

Lattice parameters (Å, degrees): 5.4592 5.4592 5.1111 90.00 90.00 90.00
Closest atoms and distances in Å follow each position.
Atoms (fractional coordinates):
Hf1 0.0000 0.0000 0.0000  2 Sc 2.56, 4 Bi 2.73
Sc1 0.0000 0.0000 0.5000  2 Hf 2.56
Bi1 0.0000 0.5000 0.0000  2 Hf 2.73
Bi2 0.5000 0.0000 0.0000  2 Hf 2.73
Os1 0.5000 0.5000 0.5000  8 Bi 3.74, 4 Sc 3.86

=====

First-principles (PBE) data for a relaxed Ba2DyOsN4 crystal, as listed in Alexandria via LeMat-Bulk.

* calculated density: 5.88 g cm⁻³
* calculated total energy: -109.08 eV/cell
* formation energy from raw total energies: -0.19 eV/atom

Lattice parameters (Å, degrees): 12.2556 11.0128 6.8166 83.29 63.18 33.53
Closest atoms and distances in Å follow each position.
Atoms (fractional coordinates):
Ba1 0.0619 0.0619 0.6881  2 N 2.82
Ba2 0.3119 0.3119 0.9381  2 N 2.82
Ba3 0.6881 0.6881 0.0619  2 N 2.82
Ba4 0.9381 0.9381 0.3119  2 N 2.82
Dy1 0.1250 0.1250 0.1250  4 N 2.25
Dy2 0.8750 0.8750 0.8750  4 N 2.25
Os1 0.3750 0.3750 0.3750  4 N 1.89
Os2 0.6250 0.6250 0.6250  4 N 1.89
N1 0.0325 0.6456 0.5201  1 Os 1.89
N2 0.3017 0.5201 0.6456  1 Os 1.89
N3 0.3544 0.9675 0.6983  1 Os 1.89
N4 0.4799 0.6983 0.9675  1 Os 1.89
N5 0.5201 0.3017 0.0325  1 Os 1.89
N6 0.6456 0.0325 0.3017  1 Os 1.89
N7 0.6983 0.4799 0.3544  1 Os 1.89
N8 0.9675 0.3544 0.4799  1 Os 1.89

=====

> What is the calculated density in the first record?

3.43 g cm⁻³

=====

> The highest calculated density belongs to which entry?

HfScBi2Os

=====

> Which of these has the highest calculated total energy?

BeSiSe

=====

> Number 1 is which compound?

BeSiSe